(1)
The following is a DFT calculation (GGA-PBEsol) of a relaxed structure of NdSF.

Cell and atoms, written as CIF:
```
data_NdSF
_symmetry_space_group_name_H-M 'P 1'
_symmetry_Int_Tables_number 1
_cell_length_a 3.896
_cell_length_b 3.896
_cell_length_c 6.879
_cell_angle_alpha 90.00
_cell_angle_beta 90.00
_cell_angle_gamma 90.00
loop_
_symmetry_equiv_pos_as_xyz
'x,y,z'
loop_
_atom_site_label
_atom_site_type_symbol
_atom_site_fract_x
_atom_site_fract_y
_atom_site_fract_z
_atom_site_occupancy
Nd1 Nd 0.250 0.250 0.228 1
Nd2 Nd 0.750 0.750 0.772 1
S1 S 0.250 0.250 0.646 1
S2 S 0.750 0.750 0.354 1
F1 F 0.250 0.750 0.000 1
F2 F 0.750 0.250 0.000 1
```

Properties
Raw formation energy: -3.069 eV/atom
SG: P4/nmm (129)

---

(2)
The following is a DFT calculation (GGA-PBEsol) of a relaxed structure of NdZr3F15.

Cell and atoms, written as CIF:
```
data_NdZr3F15
_symmetry_space_group_name_H-M 'P 1'
_symmetry_Int_Tables_number 1
_cell_length_a 7.372
_cell_length_b 7.372
_cell_length_c 7.372
_cell_angle_alpha 112.61
_cell_angle_beta 112.61
_cell_angle_gamma 112.61
loop_
_symmetry_equiv_pos_as_xyz
'x,y,z'
loop_
_atom_site_label
_atom_site_type_symbol
_atom_site_fract_x
_atom_site_fract_y
_atom_site_fract_z
_atom_site_occupancy
Nd1 Nd 0.000 0.000 0.000 1
Zr1 Zr 0.361 0.361 0.792 1
Zr2 Zr 0.361 0.792 0.361 1
Zr3 Zr 0.792 0.361 0.361 1
F1 F 0.103 0.103 0.764 1
F2 F 0.103 0.764 0.103 1
F3 F 0.105 0.435 0.649 1
F4 F 0.105 0.649 0.435 1
F5 F 0.187 0.187 0.421 1
F6 F 0.187 0.421 0.187 1
F7 F 0.421 0.187 0.187 1
F8 F 0.435 0.105 0.649 1
F9 F 0.435 0.649 0.105 1
F10 F 0.645 0.645 0.867 1
F11 F 0.645 0.867 0.645 1
F12 F 0.649 0.105 0.435 1
F13 F 0.649 0.435 0.105 1
F14 F 0.764 0.103 0.103 1
F15 F 0.867 0.645 0.645 1
```

Properties
Raw formation energy: -3.841 eV/atom
SG: R3m (160)

---

(3)
The following is a DFT calculation (GGA-PBEsol) of a relaxed structure of NdZr2F11.

Cell and atoms, written as CIF:
```
data_NdZr2F11
_symmetry_space_group_name_H-M 'P 1'
_symmetry_Int_Tables_number 1
_cell_length_a 8.347
_cell_length_b 8.347
_cell_length_c 8.347
_cell_angle_alpha 124.57
_cell_angle_beta 106.22
_cell_angle_gamma 98.81
loop_
_symmetry_equiv_pos_as_xyz
'x,y,z'
loop_
_atom_site_label
_atom_site_type_symbol
_atom_site_fract_x
_atom_site_fract_y
_atom_site_fract_z
_atom_site_occupancy
Nd1 Nd 0.250 0.250 0.000 1
Nd2 Nd 0.750 0.750 0.000 1
Zr1 Zr 0.181 0.634 0.815 1
Zr2 Zr 0.319 0.134 0.453 1
Zr3 Zr 0.681 0.866 0.547 1
Zr4 Zr 0.819 0.366 0.185 1
F1 F 0.000 0.500 0.500 1
F2 F 0.046 0.965 0.286 1
F3 F 0.053 0.364 0.157 1
F4 F 0.179 0.465 0.919 1
F5 F 0.207 0.896 0.843 1
F6 F 0.218 0.371 0.589 1
F7 F 0.282 0.871 0.152 1
F8 F 0.293 0.136 0.689 1
F9 F 0.321 0.240 0.286 1
F10 F 0.447 0.604 0.311 1
F11 F 0.454 0.740 0.919 1
F12 F 0.500 0.000 0.500 1
F13 F 0.546 0.260 0.081 1
F14 F 0.553 0.396 0.689 1
F15 F 0.679 0.760 0.714 1
F16 F 0.707 0.864 0.311 1
F17 F 0.718 0.129 0.848 1
F18 F 0.782 0.629 0.411 1
F19 F 0.793 0.104 0.157 1
F20 F 0.821 0.535 0.081 1
F21 F 0.947 0.636 0.843 1
F22 F 0.954 0.035 0.714 1
```

Properties
Raw formation energy: -3.877 eV/atom
SG: Ibam (72)

---

(4)
The following is a DFT calculation (GGA-PBEsol) of a relaxed structure of NiF3.

Cell and atoms, written as CIF:
```
data_NiF3
_symmetry_space_group_name_H-M 'P 1'
_symmetry_Int_Tables_number 1
_cell_length_a 5.089
_cell_length_b 5.089
_cell_length_c 5.089
_cell_angle_alpha 55.53
_cell_angle_beta 55.53
_cell_angle_gamma 55.53
loop_
_symmetry_equiv_pos_as_xyz
'x,y,z'
loop_
_atom_site_label
_atom_site_type_symbol
_atom_site_fract_x
_atom_site_fract_y
_atom_site_fract_z
_atom_site_occupancy
Ni1 Ni 0.000 0.000 0.000 1
Ni2 Ni 0.500 0.500 0.500 1
F1 F 0.112 0.750 0.388 1
F2 F 0.250 0.612 0.888 1
F3 F 0.388 0.112 0.750 1
F4 F 0.612 0.888 0.250 1
F5 F 0.750 0.388 0.112 1
F6 F 0.888 0.250 0.612 1
```

Properties
Raw formation energy: -1.579 eV/atom
SG: R-3c (167)

---

(5)
The following is a DFT calculation (GGA-PBEsol) of a relaxed structure of Ni6OF11.

Cell and atoms, written as CIF:
```
data_Ni6OF11
_symmetry_space_group_name_H-M 'P 1'
_symmetry_Int_Tables_number 1
_cell_length_a 4.588
_cell_length_b 5.510
_cell_length_c 7.635
_cell_angle_alpha 86.70
_cell_angle_beta 89.48
_cell_angle_gamma 89.30
loop_
_symmetry_equiv_pos_as_xyz
'x,y,z'
loop_
_atom_site_label
_atom_site_type_symbol
_atom_site_fract_x
_atom_site_fract_y
_atom_site_fract_z
_atom_site_occupancy
Ni1 Ni 0.000 0.000 0.000 1
Ni2 Ni 0.003 0.665 0.330 1
Ni3 Ni 0.023 0.318 0.658 1
Ni4 Ni 0.487 0.167 0.345 1
Ni5 Ni 0.490 0.846 0.662 1
Ni6 Ni 0.508 0.496 0.994 1
O1 O 0.309 0.126 0.564 1
F1 F 0.193 0.300 0.899 1
F2 F 0.202 0.627 0.562 1
F3 F 0.204 0.959 0.229 1
F4 F 0.307 0.463 0.229 1
F5 F 0.307 0.797 0.897 1
F6 F 0.694 0.199 0.105 1
F7 F 0.703 0.534 0.760 1
F8 F 0.703 0.867 0.432 1
F9 F 0.805 0.035 0.768 1
F10 F 0.807 0.699 0.098 1
F11 F 0.810 0.366 0.431 1
```

Properties
Raw formation energy: -1.515 eV/atom
SG: P1 (1)
ΔE to the lowest computed polymorph: 2 meV/atom

---

(6)
The following is a DFT calculation (GGA-PBEsol) of a relaxed structure of Ni6OF11.

Cell and atoms, written as CIF:
```
data_Ni6OF11
_symmetry_space_group_name_H-M 'P 1'
_symmetry_Int_Tables_number 1
_cell_length_a 5.510
_cell_length_b 5.510
_cell_length_c 7.123
_cell_angle_alpha 106.91
_cell_angle_beta 106.91
_cell_angle_gamma 72.76
loop_
_symmetry_equiv_pos_as_xyz
'x,y,z'
loop_
_atom_site_label
_atom_site_type_symbol
_atom_site_fract_x
_atom_site_fract_y
_atom_site_fract_z
_atom_site_occupancy
Ni1 Ni 0.000 0.000 0.000 1
Ni2 Ni 0.004 0.004 0.472 1
Ni3 Ni 0.317 0.317 0.321 1
Ni4 Ni 0.331 0.331 0.817 1
Ni5 Ni 0.662 0.662 0.152 1
Ni6 Ni 0.668 0.668 0.648 1
O1 O 0.098 0.098 0.280 1
F1 F 0.024 0.633 0.320 1
F2 F 0.231 0.231 0.020 1
F3 F 0.302 0.695 0.981 1
F4 F 0.362 0.967 0.651 1
F5 F 0.433 0.433 0.616 1
F6 F 0.555 0.555 0.351 1
F7 F 0.633 0.024 0.320 1
F8 F 0.695 0.302 0.981 1
F9 F 0.765 0.765 0.949 1
F10 F 0.902 0.902 0.688 1
F11 F 0.967 0.362 0.651 1
```

Properties
Raw formation energy: -1.515 eV/atom
SG: Cm (8)
ΔE to the lowest computed polymorph: 2 meV/atom

---

(7)
The following is a DFT calculation (GGA-PBEsol) of a relaxed structure of Ni6OF11.

Cell and atoms, written as CIF:
```
data_Ni6OF11
_symmetry_space_group_name_H-M 'P 1'
_symmetry_Int_Tables_number 1
_cell_length_a 4.632
_cell_length_b 3.036
_cell_length_c 13.639
_cell_angle_alpha 90.00
_cell_angle_beta 90.97
_cell_angle_gamma 90.00
loop_
_symmetry_equiv_pos_as_xyz
'x,y,z'
loop_
_atom_site_label
_atom_site_type_symbol
_atom_site_fract_x
_atom_site_fract_y
_atom_site_fract_z
_atom_site_occupancy
Ni1 Ni 0.000 0.000 0.000 1
Ni2 Ni 0.017 0.000 0.337 1
Ni3 Ni 0.041 0.000 0.678 1
Ni4 Ni 0.488 0.500 0.830 1
Ni5 Ni 0.508 0.500 0.168 1
Ni6 Ni 0.525 0.500 0.505 1
O1 O 0.198 0.500 0.739 1
F1 F 0.181 0.500 0.073 1
F2 F 0.204 0.500 0.407 1
F3 F 0.325 0.000 0.908 1
F4 F 0.331 0.000 0.240 1
F5 F 0.333 0.000 0.571 1
F6 F 0.684 0.000 0.096 1
F7 F 0.695 0.000 0.767 1
F8 F 0.704 0.000 0.433 1
F9 F 0.814 0.500 0.929 1
F10 F 0.832 0.500 0.265 1
F11 F 0.842 0.500 0.603 1
```

Properties
Raw formation energy: -1.513 eV/atom
SG: Pm (6)
ΔE to the lowest computed polymorph: 4 meV/atom

---

(8)
The following is a DFT calculation (GGA-PBEsol) of a relaxed structure of Ni6OF11.

Cell and atoms, written as CIF:
```
data_Ni6OF11
_symmetry_space_group_name_H-M 'P 1'
_symmetry_Int_Tables_number 1
_cell_length_a 9.158
_cell_length_b 4.588
_cell_length_c 4.588
_cell_angle_alpha 90.91
_cell_angle_beta 90.00
_cell_angle_gamma 90.00
loop_
_symmetry_equiv_pos_as_xyz
'x,y,z'
loop_
_atom_site_label
_atom_site_type_symbol
_atom_site_fract_x
_atom_site_fract_y
_atom_site_fract_z
_atom_site_occupancy
Ni1 Ni 0.000 0.000 0.000 1
Ni2 Ni 0.158 0.464 0.464 1
Ni3 Ni 0.334 0.970 0.970 1
Ni4 Ni 0.500 0.472 0.472 1
Ni5 Ni 0.666 0.970 0.970 1
Ni6 Ni 0.842 0.464 0.464 1
O1 O 0.000 0.286 0.286 1
F1 F 0.000 0.684 0.684 1
F2 F 0.167 0.175 0.782 1
F3 F 0.167 0.782 0.175 1
F4 F 0.330 0.664 0.664 1
F5 F 0.332 0.275 0.275 1
F6 F 0.500 0.165 0.772 1
F7 F 0.500 0.772 0.165 1
F8 F 0.668 0.275 0.275 1
F9 F 0.670 0.664 0.664 1
F10 F 0.833 0.175 0.782 1
F11 F 0.833 0.782 0.175 1
```

Properties
Raw formation energy: -1.517 eV/atom
SG: Amm2 (38)
ΔE to the lowest computed polymorph: 0 meV/atom

---

Values of DFT total energy, in order: -6.90; -7.07; -7.06; -4.56; -5.04; -5.04; -5.04; -5.04, all in eV/atom.